(1)
A relaxed EuZnIr crystal, computed with PBE-GGA.

Properties
- Formation energy from the elements: -0.341 eV per atom
- N(E_F): 10.7 states/eV per cell
- Electronic total energy: -7.144 eV/atom
- Space group: No. 187

a = 3.9593 Å, b = 4.3462 Å, c = 4.3462 Å
α = 120.00°, β = 90.00°, γ = 90.00°
Closest atoms and distances in Å follow each position.
Positions (direct):
Eu 0.6667 0.3333 0.6667  6 Zn 3.20, 6 Ir 3.20
Zn 0.1666 0.6667 0.3333  3 Ir 2.51
Ir 0.1667 0.0000 0.0000  3 Zn 2.51


(2)
A relaxed Pr2PaSb crystal, computed with PBE-GGA.

Properties
- N(E_F): 6.2 states/eV per cell
- Electronic total energy: -6.076 eV/atom
- Energy above the most stable polymorph in this dataset: 0.00 eV per formula unit
- Formation energy without anion corrections: -0.28 eV/atom
- Space group: No. 123

a = 4.6597 Å, b = 4.9429 Å, c = 4.9429 Å
α = 90.00°, β = 90.00°, γ = 90.00°
Closest atoms and distances in Å follow each position.
Positions (direct):
Pr 0.0000 0.0000 0.5000  4 Pa 3.40, 4 Sb 3.40, 4 Pr 3.50
Pr 0.0000 0.5000 0.0000  4 Sb 3.40, 4 Pa 3.40, 4 Pr 3.50
Sb 0.5000 0.0000 0.0000  8 Pr 3.40, 4 Pa 3.50
Pa 0.5000 0.5000 0.5000  8 Pr 3.40, 4 Sb 3.50


(3)
A relaxed Ho4InSn2 crystal, computed with PBE-GGA.

Properties
- Formation energy from the elements: -0.361 eV per atom
- N(E_F): 4.4 states/eV per cell
- Electronic total energy: -4.512 eV/atom
- Space group: No. 12

a = 3.5206 Å, b = 8.2043 Å, c = 8.3420 Å
α = 119.42°, β = 102.18°, γ = 90.00°
Closest atoms and distances in Å follow each position.
Positions (direct):
Ho 0.8955 0.2453 0.7910  3 Sn 3.16-3.17, 1 In 3.23, 2 Ho 3.52
Ho 0.1045 0.7547 0.2090  3 Sn 3.16-3.17, 1 In 3.23, 2 Ho 3.52
Ho 0.6232 0.3767 0.2465  3 Sn 3.08-3.21, 2 In 3.23
Ho 0.3768 0.6233 0.7535  3 Sn 3.08-3.21, 2 In 3.23
In 0.0000 0.0000 0.0000  2 Sn 3.17, 6 Ho 3.23, 2 In 3.52
Sn 0.7754 0.7986 0.5508  6 Ho 3.08-3.21, 1 In 3.17
Sn 0.2246 0.2014 0.4492  6 Ho 3.08-3.21, 1 In 3.17


(4)
A relaxed SrIn2SbH crystal, computed with PBE-GGA.

Properties
- N(E_F): 2.0 states/eV per cell
- Electronic total energy: -3.161 eV/atom
- Space group: No. 123

a = 4.9328 Å, b = 4.9328 Å, c = 5.0023 Å
α = 90.00°, β = 90.00°, γ = 90.00°
Closest atoms and distances in Å follow each position.
Positions (direct):
Sb 0.5000 0.5000 0.5000  4 Sr 3.49, 8 In 3.51
H 0.0000 0.0000 0.0000  4 In 2.47, 2 Sr 2.50
Sr 0.0000 0.0000 0.5000  2 H 2.50
In 0.0000 0.5000 0.0000  2 H 2.47
In 0.5000 0.0000 0.0000  2 H 2.47


(5)
A relaxed Y6Mg5Zn crystal, computed with PBE-GGA.

Properties
- Formation energy from the elements: -0.141 eV per atom
- N(E_F): 16.8 states/eV per cell
- Electronic total energy: -4.143 eV/atom
- Space group: No. 65

a = 5.3212 Å, b = 7.5197 Å, c = 8.4261 Å
α = 90.00°, β = 71.59°, γ = 90.00°
Closest atoms and distances in Å follow each position.
Positions (direct):
Y 0.8387 0.7556 0.3226  1 Zn 3.17, 7 Mg 3.22-3.33
Y 0.8387 0.2444 0.3226  1 Zn 3.17, 7 Mg 3.22-3.33
Y 0.5000 0.2392 0.0000  2 Zn 3.21, 6 Mg 3.29-3.33
Y 0.5000 0.7608 0.0000  2 Zn 3.21, 6 Mg 3.29-3.33
Y 0.1613 0.7556 0.6774  1 Zn 3.17, 7 Mg 3.22-3.33
Y 0.1613 0.2444 0.6774  1 Zn 3.17, 7 Mg 3.22-3.33
Mg 0.6687 0.5000 0.6627  8 Y 3.28-3.33
Mg 0.3275 0.0000 0.3451  8 Y 3.23-3.29
Mg 0.0000 0.5000 0.0000  8 Y 3.22-3.31
Mg 0.6725 0.0000 0.6549  8 Y 3.23-3.29
Mg 0.3313 0.5000 0.3373  8 Y 3.28-3.33
Zn 0.0000 0.0000 0.0000  8 Y 3.17-3.21


(6)
A relaxed Y2Sc3Ga4 crystal, computed with PBE-GGA.

Properties
- Formation energy from the elements: -0.474 eV per atom
- N(E_F): 13.6 states/eV per cell
- Electronic total energy: -5.366 eV/atom
- Energy above the most stable polymorph in this dataset: 1.49 eV per formula unit
- Space group: No. 64

a = 6.4380 Å, b = 8.1792 Å, c = 8.3235 Å
α = 90.00°, β = 112.75°, γ = 90.00°
Closest atoms and distances in Å follow each position.
Positions (direct):
Y 0.1101 0.5841 0.2201  6 Ga 3.07-3.37, 2 Sc 3.43
Y 0.8899 0.4159 0.7799  6 Ga 3.07-3.37, 2 Sc 3.43
Y 0.3899 0.0841 0.7799  6 Ga 3.07-3.37, 2 Sc 3.43
Y 0.6101 0.9159 0.2201  6 Ga 3.07-3.37, 2 Sc 3.43
Sc 0.0000 0.0000 0.0000  6 Ga 2.66-2.88
Sc 0.5000 0.5000 0.0000  6 Ga 2.66-2.88
Sc 0.5366 0.7500 0.5731  5 Ga 2.74-2.92
Sc 0.9634 0.2500 0.4269  5 Ga 2.74-2.92
Sc 0.4634 0.2500 0.4269  5 Ga 2.74-2.92
Sc 0.0366 0.7500 0.5731  5 Ga 2.74-2.92
Ga 0.7148 0.7500 0.9296  3 Sc 2.66-2.74
Ga 0.7852 0.2500 0.0704  3 Sc 2.66-2.74
Ga 0.2852 0.2500 0.0704  3 Sc 2.66-2.74
Ga 0.2148 0.7500 0.9296  3 Sc 2.66-2.74
Ga 0.1860 0.9564 0.3719  5 Sc 2.80-2.92
Ga 0.8140 0.0436 0.6281  5 Sc 2.80-2.92
Ga 0.3140 0.4564 0.6281  5 Sc 2.80-2.92
Ga 0.6860 0.5436 0.3719  5 Sc 2.80-2.92


(7)
A relaxed Pm6Tm5Mg crystal, computed with PBE-GGA.

Properties
- Formation energy from the elements: 0.024 eV per atom
- N(E_F): 13.9 states/eV per cell
- Electronic total energy: -4.347 eV/atom
- Space group: No. 12

a = 6.1604 Å, b = 7.9260 Å, c = 7.9260 Å
α = 84.87°, β = 97.71°, γ = 97.71°
Closest atoms and distances in Å follow each position.
Positions (direct):
Mg 0.0000 0.0000 0.0000  6 Pm 3.51-3.56, 6 Tm 3.56-3.57
Tm 0.5000 0.8337 0.1663  6 Pm 3.51-3.55, 2 Mg 3.56, 4 Tm 3.56-3.57
Tm 0.0000 0.6659 0.3341  6 Pm 3.51-3.58, 5 Tm 3.55-3.57, 1 Mg 3.57
Tm 0.5000 0.5000 0.5000  6 Pm 3.53-3.55, 6 Tm 3.55-3.57
Tm 0.0000 0.3341 0.6659  6 Pm 3.51-3.58, 5 Tm 3.55-3.57, 1 Mg 3.57
Tm 0.5000 0.1663 0.8337  6 Pm 3.51-3.55, 2 Mg 3.56, 4 Tm 3.56-3.57
Pm 0.7468 0.9193 0.5858  5 Tm 3.51-3.58, 1 Mg 3.51, 6 Pm 3.52-3.60
Pm 0.2532 0.4142 0.0807  5 Tm 3.51-3.58, 1 Mg 3.51, 6 Pm 3.52-3.60
Pm 0.2494 0.7482 0.7482  5 Tm 3.51-3.55, 6 Pm 3.54-3.58, 1 Mg 3.56
Pm 0.7506 0.2518 0.2518  5 Tm 3.51-3.55, 6 Pm 3.54-3.58, 1 Mg 3.56
Pm 0.7468 0.5858 0.9193  5 Tm 3.51-3.58, 1 Mg 3.51, 6 Pm 3.52-3.60
Pm 0.2532 0.0807 0.4142  5 Tm 3.51-3.58, 1 Mg 3.51, 6 Pm 3.52-3.60


(8)
A relaxed Hf2MgU crystal, computed with PBE-GGA.

Properties
- Formation energy from the elements: 0.433 eV per atom
- N(E_F): 7.9 states/eV per cell
- Electronic total energy: -7.764 eV/atom
- Energy above the most stable polymorph in this dataset: 1.02 eV per formula unit
- Space group: No. 225

a = 4.9914 Å, b = 4.9914 Å, c = 4.9918 Å
α = 60.00°, β = 60.00°, γ = 60.00°
Closest atoms and distances in Å follow each position.
Positions (direct):
Hf 0.2502 0.2502 0.2494  4 Mg 3.05-3.06, 4 U 3.06
Hf 0.7498 0.7498 0.7506  4 Mg 3.05-3.06, 4 U 3.06
Mg 0.5000 0.5000 0.5000  8 Hf 3.05-3.06
U 0.0000 0.0000 0.0000  8 Hf 3.06


Asked for total magnetization across the records above, the calculation gives 2.24 0.00 0.00 0.00 0.00 0.00 0.00 0.68 μB/atom in order.
Asked for calculated volume across the records above, the calculation gives 64.8 113.8 203.6 121.7 319.9 404.2 379.0 87.9 Å³ per cell in order.